Entry 1:
The following is a DFT calculation (PBEsol) of CrPOs3 after structural relaxation.

abc: 4.3841 4.3841 4.3841
angles: 90.00 90.00 90.00
Last column: nearest neighbours and their distance in Å.
Atoms (fractional coordinates):
Cr: 0.0000 0.0000 0.0000  6 Os 2.19
P: 0.5000 0.5000 0.5000  12 Os 3.10
Os: 0.0000 0.0000 0.5000  2 Cr 2.19
Os: 0.0000 0.5000 0.0000  2 Cr 2.19
Os: 0.5000 0.0000 0.0000  2 Cr 2.19

Computed properties:
- Raw total energy: -8.49 eV per atom
- Energy of formation: 10.23 eV/f.u.

***

Entry 2:
The following is a DFT calculation (PBEsol) of LiLaTa3 after structural relaxation.

abc: 4.8879 4.8879 4.8879
angles: 90.00 90.00 90.00
Last column: nearest neighbours and their distance in Å.
Atoms (fractional coordinates):
Li: 0.0000 0.0000 0.0000  12 Ta 3.46
La: 0.5000 0.5000 0.5000  6 Ta 2.44
Ta: 0.0000 0.5000 0.5000  2 La 2.44
Ta: 0.5000 0.0000 0.5000  2 La 2.44
Ta: 0.5000 0.5000 0.0000  2 La 2.44

Computed properties:
- Raw total energy: -6.84 eV per atom
- Energy of formation: 10.76 eV/f.u.

***

Entry 3:
The following is a DFT calculation (PBEsol) of FeSb after structural relaxation.

abc: 3.1247 3.1247 3.1247
angles: 90.00 90.00 90.00
Last column: nearest neighbours and their distance in Å.
Atoms (fractional coordinates):
Fe: 0.0000 0.0000 0.0000  8 Sb 2.71
Sb: 0.5000 0.5000 0.5000  8 Fe 2.71

Computed properties:
- Raw total energy: -6.46 eV per atom

***

Entry 4:
The following is a DFT calculation (PBEsol) of ReAs2RhSe after structural relaxation.

abc: 4.5188 4.5188 5.2498
angles: 90.00 90.00 90.00
Last column: nearest neighbours and their distance in Å.
Atoms (fractional coordinates):
Re: 0.0000 0.0000 0.0000  2 Rh 2.62
As: 0.0000 0.5000 0.5000  2 Rh 2.26
As: 0.5000 0.0000 0.5000  2 Rh 2.26
Rh: 0.0000 0.0000 0.5000  4 As 2.26
Se: 0.5000 0.5000 0.0000  4 Re 3.20, 8 As 3.46

Computed properties:
- Raw total energy: -5.88 eV per atom